An optimized crystal structure of Na8PbSe6. Source: Alexandria, functional PBE.

Lattice parameters (Å, degrees): 8.7193 8.2770 12.2517 90.00 90.00 90.00
Last column: nearest neighbours and their distance in Å.
Positions (direct):
Na1 0.5589 0.7760 0.1835  4 Se 2.89-3.02, 1 Na 3.19
Se1 0.7156 0.0000 0.0237  7 Na 2.86-3.12
Se2 0.0060 0.0000 0.3590  1 Pb 2.71, 3 Na 2.92-2.99
Se3 0.7601 0.5000 0.2341  6 Na 2.72-2.97
Pb1 0.2451 0.5000 0.9892  4 Se 2.65-2.71
Se4 0.2844 0.5000 0.5237  7 Na 2.86-3.12
Na2 0.7981 0.2043 0.8452  3 Se 2.86-2.99
Na3 0.4411 0.2760 0.6835  4 Se 2.89-3.02, 1 Na 3.19
Se5 0.9940 0.5000 0.8590  1 Pb 2.71, 3 Na 2.92-2.99
Na4 0.3724 0.0000 0.9515  4 Se 2.90-3.12
Na5 0.9224 0.7957 0.1610  4 Se 2.88-3.05, 1 Na 3.19
Na6 0.4411 0.7240 0.6835  4 Se 2.89-3.02, 1 Na 3.19
Se6 0.7567 0.2636 0.6118  1 Pb 2.65, 3 Na 2.88-2.92
Na7 0.9224 0.2043 0.1610  4 Se 2.88-3.05, 1 Na 3.19
Na8 0.7383 0.5000 0.0126  3 Se 2.72-2.92
Se7 0.2433 0.7636 0.1118  1 Pb 2.65, 3 Na 2.88-2.92
Se8 0.2433 0.2364 0.1118  1 Pb 2.65, 3 Na 2.88-2.92
Na9 0.0776 0.2957 0.6610  4 Se 2.88-3.05, 1 Na 3.19
Na10 0.5589 0.2240 0.1835  4 Se 2.89-3.02, 1 Na 3.19
Pb2 0.7549 0.0000 0.4892  4 Se 2.65-2.71
Se9 0.2399 0.0000 0.7341  6 Na 2.72-2.97
Na11 0.6276 0.5000 0.4515  4 Se 2.90-3.12
Na12 0.2019 0.2957 0.3452  3 Se 2.86-2.99
Na13 0.2617 0.0000 0.5126  3 Se 2.72-2.92
Na14 0.7981 0.7957 0.8452  3 Se 2.86-2.99
Na15 0.0776 0.7043 0.6610  4 Se 2.88-3.05, 1 Na 3.19
Na16 0.2019 0.7043 0.3452  3 Se 2.86-2.99
Se10 0.5039 0.0000 0.3631  1 Pb 2.68, 3 Na 2.80-2.92
Se11 0.4961 0.5000 0.8631  1 Pb 2.68, 3 Na 2.80-2.92
Se12 0.7567 0.7364 0.6118  1 Pb 2.65, 3 Na 2.88-2.92

Values from the calculation:
**Crystal system**: orthorhombic
**Magnetic moment**: 0.1 μB per formula unit
**Volume**: 884.2 Å³ per cell
**Final energy**: -3.198 eV/atom

***

An optimized crystal structure of Na2Pb2Se. Source: Alexandria, functional PBE.

Lattice parameters (Å, degrees): 4.2388 4.2388 8.9749 76.34 76.34 90.00
Last column: nearest neighbours and their distance in Å.
Positions (direct):
Na1 0.2500 0.7500 0.5000  4 Na 3.00
Se1 0.0000 0.0000 0.0000  8 Pb 3.35
Pb1 0.4120 0.4120 0.1760  1 Pb 2.98
Na2 0.7500 0.2500 0.5000  4 Na 3.00
Pb2 0.5880 0.5880 0.8240  1 Pb 2.98

Values from the calculation:
**Crystal system**: tetragonal
**Energy relative to the lowest polymorph listed for this composition**: 0.2294 eV/atom
**Magnetic moment**: 0.0 μB per formula unit
**Volume**: 152.0 Å³ per cell
**Final energy**: -2.682 eV/atom

***

An optimized crystal structure of NaPb3Se4. Source: Alexandria, functional PBE.

Lattice parameters (Å, degrees): 6.0898 6.0898 7.4537 114.11 114.11 89.99
Last column: nearest neighbours and their distance in Å.
Positions (direct):
Se1 0.0000 0.5000 0.0000  4 Pb 3.04, 2 Na 3.04
Se2 0.2518 0.2518 0.5036  5 Pb 3.02-3.04, 1 Na 3.06
Pb1 0.7500 0.2500 0.5000  6 Se 3.04
Se3 0.5000 0.0000 0.0000  4 Pb 3.04, 2 Na 3.04
Pb2 0.2500 0.7500 0.5000  6 Se 3.04
Se4 0.7482 0.7482 0.4964  5 Pb 3.02-3.04, 1 Na 3.06
Pb3 0.5000 0.5000 0.0000  6 Se 3.02-3.04
Na1 0.0000 0.0000 0.0000  6 Se 3.04-3.06

Values from the calculation:
**Crystal system**: tetragonal
**Magnetic moment**: 0.0 μB per formula unit
**Volume**: 225.6 Å³ per cell
**Final energy**: -3.902 eV/atom

***

An optimized crystal structure of NaPbSe3. Source: Alexandria, functional PBE.

Lattice parameters (Å, degrees): 5.5318 5.5318 5.5318 90.00 90.00 90.00
Last column: nearest neighbours and their distance in Å.
Positions (direct):
Se1 0.0000 0.5000 0.0000  2 Pb 2.77
Na1 0.5000 0.5000 0.5000  12 Se 3.91
Se2 0.0000 0.0000 0.5000  2 Pb 2.77
Pb1 0.0000 0.0000 0.0000  6 Se 2.77
Se3 0.5000 0.0000 0.0000  2 Pb 2.77

Values from the calculation:
**Crystal system**: cubic
**Energy relative to the lowest polymorph listed for this composition**: 0.0000 eV/atom
**Magnetic moment**: 0.0 μB per formula unit
**Volume**: 169.3 Å³ per cell
**Final energy**: -3.090 eV/atom

***

An optimized crystal structure of NaPb3Se. Source: Alexandria, functional PBE.

Lattice parameters (Å, degrees): 5.5091 5.5091 5.5091 90.00 90.00 90.00
Last column: nearest neighbours and their distance in Å.
Positions (direct):
Se1 0.5000 0.5000 0.5000  12 Pb 3.90
Na1 0.0000 0.0000 0.0000  6 Pb 2.75
Pb1 0.5000 0.0000 0.0000  2 Na 2.75
Pb2 0.0000 0.0000 0.5000  2 Na 2.75
Pb3 0.0000 0.5000 0.0000  2 Na 2.75

Values from the calculation:
**Crystal system**: cubic
**Energy relative to the lowest polymorph listed for this composition**: 0.4167 eV/atom
**Magnetic moment**: 0.0 μB per formula unit
**Volume**: 167.2 Å³ per cell
**Final energy**: -2.674 eV/atom

***

An optimized crystal structure of Na2Pb2Se3. Source: Alexandria, functional PBE.

Lattice parameters (Å, degrees): 8.3106 7.9438 8.0771 90.00 60.72 90.00
Last column: nearest neighbours and their distance in Å.
Positions (direct):
Na1 0.0804 0.1369 0.6333  4 Se 2.89-3.02
Se1 0.5000 0.5000 0.0000  2 Na 2.91, 4 Pb 3.02-3.13
Na2 0.4196 0.6369 0.3667  4 Se 2.89-3.02
Se2 0.8043 0.5443 0.2834  2 Pb 2.87-2.93, 3 Na 2.89-3.02
Pb1 0.1298 0.3305 0.0780  4 Se 2.87-3.13
Na3 0.9196 0.8631 0.3667  4 Se 2.89-3.02
Pb2 0.8702 0.6695 0.9220  4 Se 2.87-3.13
Se3 0.1957 0.4557 0.7166  2 Pb 2.87-2.93, 3 Na 2.89-3.02
Pb3 0.3702 0.8305 0.9220  4 Se 2.87-3.13
Se4 0.0000 0.0000 0.0000  2 Na 2.91, 4 Pb 3.02-3.13
Na4 0.5804 0.3631 0.6333  4 Se 2.89-3.02
Pb4 0.6298 0.1695 0.0780  4 Se 2.87-3.13
Se5 0.3043 0.9557 0.2834  2 Pb 2.87-2.93, 3 Na 2.89-3.02
Se6 0.6957 0.0443 0.7166  2 Pb 2.87-2.93, 3 Na 2.89-3.02

Values from the calculation:
**Crystal system**: monoclinic
**Energy relative to the lowest polymorph listed for this composition**: 0.0326 eV/atom
**Magnetic moment**: 0.0 μB per formula unit
**Volume**: 465.1 Å³ per cell
**Final energy**: -3.645 eV/atom

***

An optimized crystal structure of Na2Pb2Se. Source: Alexandria, functional PBE.

Lattice parameters (Å, degrees): 7.2521 7.2521 5.4983 90.00 90.00 90.00
Last column: nearest neighbours and their distance in Å.
Positions (direct):
Na1 0.1544 0.3456 0.0000  2 Se 2.75
Pb1 0.8458 0.3458 0.5000  1 Pb 3.16, 2 Na 3.38
Se1 0.5000 0.5000 0.0000  4 Na 2.75
Se2 0.0000 0.0000 0.0000  4 Na 2.75
Pb2 0.1542 0.6542 0.5000  1 Pb 3.16, 2 Na 3.38
Na2 0.8456 0.6544 0.0000  2 Se 2.75
Pb3 0.3458 0.1542 0.5000  1 Pb 3.16, 2 Na 3.38
Na3 0.6544 0.1544 0.0000  2 Se 2.75
Pb4 0.6542 0.8458 0.5000  1 Pb 3.16, 2 Na 3.38
Na4 0.3456 0.8456 0.0000  2 Se 2.75

Values from the calculation:
**Crystal system**: tetragonal
**Energy relative to the lowest polymorph listed for this composition**: 0.0000 eV/atom
**Magnetic moment**: 0.0 μB per formula unit
**Volume**: 289.2 Å³ per cell
**Final energy**: -2.912 eV/atom

***

An optimized crystal structure of Na2Pb2Se3. Source: Alexandria, functional PBE.

Lattice parameters (Å, degrees): 4.4700 7.5868 7.6842 109.28 106.91 90.00
Last column: nearest neighbours and their distance in Å.
Positions (direct):
Pb1 0.6210 0.8975 0.2420  5 Se 2.85-3.16
Pb2 0.3790 0.1025 0.7580  5 Se 2.85-3.16
Se1 0.7728 0.2532 0.5457  3 Pb 2.85-3.16, 3 Na 2.93
Na1 0.8343 0.6634 0.6687  4 Se 2.86-2.93
Na2 0.1657 0.3366 0.3313  4 Se 2.86-2.93
Se2 0.0000 0.0000 0.0000  2 Na 2.86, 4 Pb 3.12
Se3 0.2272 0.7468 0.4543  3 Pb 2.85-3.16, 3 Na 2.93

Values from the calculation:
**Crystal system**: monoclinic
**Energy relative to the lowest polymorph listed for this composition**: 0.0000 eV/atom
**Magnetic moment**: 0.0 μB per formula unit
**Volume**: 234.0 Å³ per cell
**Final energy**: -3.677 eV/atom

***

An optimized crystal structure of NaPbSe2. Source: Alexandria, functional PBE.

Lattice parameters (Å, degrees): 6.6057 6.6057 8.1271 66.02 66.02 90.00
Last column: nearest neighbours and their distance in Å.
Positions (direct):
Se1 0.3750 0.3580 0.7500  2 Pb 2.80, 2 Na 2.93
Se2 0.8750 0.8920 0.7500  2 Pb 2.80, 2 Na 2.93
Pb1 0.7500 0.2500 0.5000  4 Se 2.80
Na1 0.2500 0.7500 0.5000  4 Se 2.93
Pb2 0.0000 0.0000 0.0000  4 Se 2.80
Na2 0.5000 0.5000 0.0000  4 Se 2.93
Se3 0.1080 0.6250 0.2500  2 Pb 2.80, 2 Na 2.93
Se4 0.6420 0.1250 0.2500  2 Pb 2.80, 2 Na 2.93

Values from the calculation:
**Crystal system**: tetragonal
**Magnetic moment**: 0.0 μB per formula unit
**Volume**: 290.2 Å³ per cell
**Final energy**: -3.555 eV/atom

***

An optimized crystal structure of NaPb5Se6. Source: Alexandria, functional PBE.

Lattice parameters (Å, degrees): 7.5061 7.5191 7.5166 59.99 80.42 70.57
Last column: nearest neighbours and their distance in Å.
Positions (direct):
Pb1 0.0000 0.6655 0.6690  6 Se 3.04-3.07
Se1 0.2497 0.9168 0.6653  5 Pb 3.06-3.07, 1 Na 3.08
Pb2 0.5000 0.1665 0.6671  6 Se 3.06-3.09
Pb3 0.0000 0.3345 0.3310  6 Se 3.04-3.07
Se2 0.7503 0.4179 0.6653  5 Pb 3.06-3.07, 1 Na 3.08
Se3 0.2497 0.5821 0.3347  5 Pb 3.06-3.07, 1 Na 3.08
Na1 0.0000 0.0000 0.0000  6 Se 3.05-3.08
Pb4 0.5000 0.8335 0.3329  6 Se 3.06-3.09
Se4 0.2459 0.2521 0.0000  5 Pb 3.04-3.09, 1 Na 3.05
Pb5 0.5000 0.5000 0.0000  6 Se 3.07-3.08
Se5 0.7541 0.7479 0.0000  5 Pb 3.04-3.09, 1 Na 3.05
Se6 0.7503 0.0832 0.3347  5 Pb 3.06-3.07, 1 Na 3.08

Values from the calculation:
**Crystal system**: monoclinic
**Magnetic moment**: 0.0 μB per formula unit
**Volume**: 346.4 Å³ per cell
**Final energy**: -3.992 eV/atom

***

An optimized crystal structure of NaPb3Se. Source: Alexandria, functional PBE.

Lattice parameters (Å, degrees): 5.7776 5.7776 5.7776 90.00 90.00 90.00
Last column: nearest neighbours and their distance in Å.
Positions (direct):
Pb1 0.0000 0.5000 0.0000  2 Se 2.89
Pb2 0.5000 0.0000 0.0000  2 Se 2.89
Se1 0.0000 0.0000 0.0000  6 Pb 2.89
Na1 0.5000 0.5000 0.5000  12 Pb 4.09
Pb3 0.0000 0.0000 0.5000  2 Se 2.89

Values from the calculation:
**Crystal system**: cubic
**Energy relative to the lowest polymorph listed for this composition**: 0.0000 eV/atom
**Magnetic moment**: 0.0 μB per formula unit
**Volume**: 192.9 Å³ per cell
**Final energy**: -3.091 eV/atom

***

An optimized crystal structure of NaPbSe3. Source: Alexandria, functional PBE.

Lattice parameters (Å, degrees): 5.2053 5.2053 5.2053 90.00 90.00 90.00
Last column: nearest neighbours and their distance in Å.
Positions (direct):
Se1 0.0000 0.5000 0.0000  2 Na 2.60
Pb1 0.5000 0.5000 0.5000  12 Se 3.68
Na1 0.0000 0.0000 0.0000  6 Se 2.60
Se2 0.5000 0.0000 0.0000  2 Na 2.60
Se3 0.0000 0.0000 0.5000  2 Na 2.60

Values from the calculation:
**Crystal system**: cubic
**Energy relative to the lowest polymorph listed for this composition**: 0.2494 eV/atom
**Magnetic moment**: 2.1 μB per formula unit
**Volume**: 141.0 Å³ per cell
**Final energy**: -2.840 eV/atom